# CaBeO2

A geometry-optimized CaBeO2 structure (PBE-GGA, Alexandria via LeMat-Bulk).

Properties
Its uncorrected formation energy is -2.828 eV per atom. The space-group type is P3_121, No. 152.

The structure in POSCAR format:
```
CaBeO2
1.0
5.0903 0.0000 0.0000
-2.5451 4.4083 0.0000
0.0000 0.0000 5.7515
O Be Ca
6 3 3
direct
0.2765 0.8524 0.0386
0.1476 0.4241 0.3719
0.7235 0.5759 0.2948
0.4241 0.1476 0.6281
0.8524 0.2765 0.9614
0.5759 0.7235 0.7052
0.0000 0.5601 0.1667
0.5601 0.0000 0.8333
0.4399 0.4399 0.5000
0.0000 0.6520 0.6667
0.6520 0.0000 0.3333
0.3480 0.3480 0.0000
```